(1)
Here is a relaxed Rb2ZnOsRh crystal from Alexandria via LeMat-Bulk. Energies are from PBEsol.

abc: 4.7503 6.0705 6.0705
angles: 90.00 90.00 90.00
Each line ends with the local moment (μB).
Positions (direct):
1 Rh 0.5000 0.5000 0.5000  1.36
2 Zn 0.5000 0.0000 0.0000  0.00
3 Os 0.0000 0.0000 0.0000  1.69
4 Rb 0.0000 0.0000 0.5000  0.03
5 Rb 0.0000 0.5000 0.0000  0.03

Output
**M_tot**: 3.5 μB/cell
**Crystal system**: tetragonal
**Formation enthalpy at 0 K**: 1943 meV per atom
**Fermi-level density of states**: 8.6 states/eV per cell
**Uncorrected energy**: -2.8543 eV per atom


(2)
Here is a relaxed KGeBr3 crystal from Alexandria via LeMat-Bulk. Energies are from PBEsol.

abc: 5.7653 7.5436 8.1113
angles: 90.00 113.60 90.00
Positions (direct):
1 K 0.8562 0.7500 0.1694
2 K 0.1438 0.2500 0.8306
3 Ge 0.5412 0.7500 0.5760
4 Ge 0.4588 0.2500 0.4240
5 Br 0.6285 0.0045 0.8008
6 Br 0.3715 0.5045 0.1992
7 Br 0.0156 0.2500 0.4031
8 Br 0.9844 0.7500 0.5969
9 Br 0.3715 0.9955 0.1992
10 Br 0.6285 0.4955 0.8008

Output
**Formation energy (no corrections)**: -98.6 kJ/mol of atoms
**M_tot**: 0.0 μB/cell
**Crystal system**: monoclinic
**Fermi-level density of states**: 0.0 states/eV per cell
**Uncorrected energy**: -3.3584 eV per atom


(3)
Here is a relaxed CoP2Rh crystal from Alexandria via LeMat-Bulk. Energies are from PBEsol.

abc: 4.9968 4.9968 6.2122
angles: 113.71 113.71 90.00
Positions (direct):
1 Co 0.7500 0.2500 0.5000
2 Co 0.5000 0.5000 0.0000
3 Rh 0.2500 0.7500 0.5000
4 Rh 0.0000 0.0000 0.0000
5 P 0.3974 0.8750 0.2500
6 P 0.8526 0.3750 0.2500
7 P 0.1250 0.1474 0.7500
8 P 0.6250 0.6026 0.7500

Output
**M_tot**: 0.0 μB/cell
**Crystal system**: tetragonal
**Energy above the lowest structure with this stoichiometry**: 0.0 kJ per mole of atoms
**Formation enthalpy at 0 K**: -298 meV per atom
**Fermi-level density of states**: 5.0 states/eV per cell
**Uncorrected energy**: -7.1628 eV per atom


(4)
Here is a relaxed LiTa2Pb crystal from Alexandria via LeMat-Bulk. Energies are from PBEsol.

abc: 4.6975 4.6975 4.6975
angles: 60.00 60.00 60.00
Positions (direct):
1 Li 0.5000 0.5000 0.5000
2 Pb 0.2500 0.2500 0.2500
3 Ta 0.0000 0.0000 0.0000
4 Ta 0.7500 0.7500 0.7500

Output
**M_tot**: 0.0 μB/cell
**Crystal system**: cubic
**Formation enthalpy at 0 K**: 504 meV per atom
**Fermi-level density of states**: 5.4 states/eV per cell
**Uncorrected energy**: -7.2630 eV per atom


(5)
Here is a relaxed NaAsF6 crystal from Alexandria via LeMat-Bulk. Energies are from PBEsol.

abc: 5.2076 5.2076 5.6015
angles: 62.30 62.30 60.00
Positions (direct):
1 Na 0.5000 0.5000 0.5000
2 As 0.0000 0.0000 0.0000
3 F 0.3435 0.0792 0.7848
4 F 0.0792 0.7924 0.7848
5 F 0.7924 0.3435 0.7848
6 F 0.9208 0.2076 0.2152
7 F 0.2076 0.6565 0.2152
8 F 0.6565 0.9208 0.2152

Output
**Formation energy (no corrections)**: -232.0 kJ/mol of atoms
**M_tot**: 0.1 μB/cell
**Crystal system**: trigonal
**Fermi-level density of states**: 0.0 states/eV per cell
**Uncorrected energy**: -4.6630 eV per atom


(6)
Here is a relaxed AlSb2IrAu crystal from Alexandria via LeMat-Bulk. Energies are from PBEsol.

abc: 4.6360 5.1122 5.1122
angles: 90.00 90.00 90.00
Positions (direct):
1 Sb 0.0000 0.0000 0.5000
2 Sb 0.0000 0.5000 0.0000
3 Ir 0.0000 0.0000 0.0000
4 Au 0.5000 0.5000 0.5000
5 Al 0.5000 0.0000 0.0000

Output
**Formation energy (no corrections)**: 36.2 kJ/mol of atoms
**M_tot**: 0.0 μB/cell
**Crystal system**: tetragonal
**Fermi-level density of states**: 3.1 states/eV per cell
**Uncorrected energy**: -5.0156 eV per atom


M_tot of number 5 (NaAsF6)? 0.1 μB/cell